(1)
Computed, not measured: Pr4Y3Sn4 after structural relaxation at the PBE level of DFT.

The space group is Immm (No. 71) and the conventional cell measures 3.582, 9.683 and 19.304 Å, with angles of 90.00, 90.00 and 90.00 degrees. The asymmetric unit holds Pr at (0.000, 0.175, 0.164), Y at (0.000, 0.000, 0.410), Y at (0.000, 0.500, 0.500), Sn at (0.000, 0.279, 0.000) and Sn at (0.000, 0.500, 0.222).

Its crystal system is orthorhombic. Its density of states at the Fermi level is 0.854 states/eV/atom.

(2)
Computed, not measured: Pr2YSn9 after structural relaxation at the PBE level of DFT.

The space group is P4/mmm (No. 123) and the conventional cell measures 4.746, 4.746 and 14.456 Å, with angles of 90.00, 90.00 and 90.00 degrees. The asymmetric unit holds Pr at (0.000, 0.000, 0.168), Y at (0.000, 0.000, 0.500), Sn at (0.000, 0.500, 0.000), Sn at (0.000, 0.500, 0.338), Sn at (0.500, 0.500, 0.169) and Sn at (0.500, 0.500, 0.500).

Its crystal system is tetragonal. Its density of states at the Fermi level is 0.686 states/eV/atom.

(3)
Computed, not measured: PrYSn6 after structural relaxation at the PBE level of DFT.

The space group is P4/mmm (No. 123) and the conventional cell measures 4.825, 4.825 and 9.250 Å, with angles of 90.00, 90.00 and 90.00 degrees. The asymmetric unit holds Pr at (0.000, 0.000, 0.000), Y at (0.000, 0.000, 0.500), Sn at (0.000, 0.500, 0.255), Sn at (0.500, 0.500, 0.000) and Sn at (0.500, 0.500, 0.500).

Its crystal system is tetragonal. Its density of states at the Fermi level is 0.494 states/eV/atom.

(4)
Computed, not measured: Pr6YSn4 after structural relaxation at the PBE level of DFT.

The space group is I-42m (No. 121) and the conventional cell measures 8.083, 8.083 and 12.200 Å, with angles of 90.00, 90.00 and 90.00 degrees. The asymmetric unit holds Pr at (0.000, 0.500, 0.000), Pr at (0.159, 0.159, 0.337), Y at (0.000, 0.000, 0.000) and Sn at (0.232, 0.232, 0.600).

Its crystal system is tetragonal. Its density of states at the Fermi level is 1.059 states/eV/atom.

E, respectively: -121.71 -57.80 -39.00 -110.47 eV per cell.
E_form, respectively: -576 -479 -468 -371 meV per atom.